# 1
This record from Alexandria describes Y3TcB7 after structural relaxation. The functional is GGA-PBE.

Output
The value obtained for the formation energy is -0.625 eV/atom.

Unit cell a=8.107 b=8.107 c=9.362 alpha=90.00 beta=90.00 gamma=154.75
Fractional coordinates of all 22 atoms:
Y (0.105, 0.895, 0.560)
Y (0.105, 0.895, 0.940)
Y (0.241, 0.759, 0.250)
Y (0.759, 0.241, 0.750)
Y (0.895, 0.105, 0.060)
Y (0.895, 0.105, 0.440)
Tc (0.053, 0.947, 0.250)
Tc (0.947, 0.053, 0.750)
B (0.273, 0.727, 0.533)
B (0.273, 0.727, 0.967)
B (0.368, 0.632, 0.651)
B (0.368, 0.632, 0.849)
B (0.458, 0.542, 0.250)
B (0.479, 0.521, 0.596)
B (0.479, 0.521, 0.904)
B (0.521, 0.479, 0.096)
B (0.521, 0.479, 0.404)
B (0.542, 0.458, 0.750)
B (0.632, 0.368, 0.151)
B (0.632, 0.368, 0.349)
B (0.727, 0.273, 0.033)
B (0.727, 0.273, 0.467)

***

# 2
This record from Alexandria describes YTcB4 after structural relaxation. The functional is GGA-PBE.

Output
The calculation puts the excess energy over the best structure of this formula in the dataset at 271 meV per atom. The value obtained for the formation energy is -0.354 eV/atom.

Unit cell a=4.741 b=4.741 c=4.741 alpha=141.13 beta=110.89 gamma=82.23
Fractional coordinates of all 6 atoms:
Y (0.000, 0.000, 0.000)
Tc (0.500, 0.500, 0.000)
B (0.087, 0.751, 0.336)
B (0.415, 0.751, 0.664)
B (0.585, 0.249, 0.336)
B (0.913, 0.249, 0.664)